The following is a PBE-GGA calculation of a geometry-optimized Ce5Be structure, from the Alexandria database.

abc: 4.352 13.902 4.576
angles: 90.00 90.00 90.00
Fractional positions:
Ce: 0.000 0.000 0.000
Ce: 0.000 0.174 0.500
Ce: 0.000 0.352 0.000
Ce: 0.000 0.648 0.000
Ce: 0.000 0.826 0.500
Ce: 0.500 0.148 0.000
Ce: 0.500 0.326 0.500
Ce: 0.500 0.500 0.000
Ce: 0.500 0.674 0.500
Ce: 0.500 0.852 0.000
Be: 0.000 0.500 0.500
Be: 0.500 0.000 0.500

Results
* symmetry: Cmmm (65)
* formation energy: 0.145 eV/atom
* total DFT energy (no corrections): -5.421 eV/atom
* density: 8.51 g/cm³